## SmAgAu2 (PBE)

Data for a geometry-optimized SmAgAu2 structure.

Geometry as CIF:
```
data_SmAgAu2
_chemical_formula_sum 'Sm1 Ag1 Au2'
_symmetry_space_group_name_H-M 'P 4/m m m'
_symmetry_Int_Tables_number 123
_symmetry_space_group_name_Hall '-P 4 2'
_cell_length_a 4.669
_cell_length_b 4.669
_cell_length_c 3.975
_cell_angle_alpha 90.00
_cell_angle_beta 90.00
_cell_angle_gamma 90.00
loop_
_atom_site_label
_atom_site_fract_x
_atom_site_fract_y
_atom_site_fract_z
Sm1 0.000 0.000 0.000
Ag1 0.500 0.500 0.000
Au1 0.000 0.500 0.500
```

E_tot = -3.953 eV/atom

=====

## SmAg2Au4 (PBE)

Data for a geometry-optimized SmAg2Au4 structure.

Geometry as CIF:
```
data_SmAg2Au4
_chemical_formula_sum 'Sm2 Ag4 Au8'
_symmetry_space_group_name_H-M 'C 1 2/m 1'
_symmetry_Int_Tables_number 12
_cell_length_a 9.013
_cell_length_b 7.226
_cell_length_c 5.399
_cell_angle_alpha 90.00
_cell_angle_beta 126.56
_cell_angle_gamma 90.00
loop_
_symmetry_equiv_pos_as_xyz
'x,y,z'
'-x,-y,-z'
'-x,y,-z'
'x,-y,z'
'x+1/2,y+1/2,z'
'-x+1/2,-y+1/2,-z'
'-x+1/2,y+1/2,-z'
'x+1/2,-y+1/2,z'
loop_
_atom_site_label
_atom_site_fract_x
_atom_site_fract_y
_atom_site_fract_z
Sm1 0.000 0.000 0.000
Ag1 0.000 0.500 0.250
Au1 0.196 0.196 0.696
```

E_tot = -3.742 eV/atom